Entry 1:
{"formula": "NaTbMgS3", "functional": "PBE", "state": "optimized geometry", "cell": [[2.010, -6.594, 0.000], [2.010, 6.594, 0.000], [0.000, 0.000, 10.891]], "species": ["Na", "Na", "Tb", "Tb", "Mg", "Mg", "S", "S", "S", "S", "S", "S"], "frac_coords": [[0.248, 0.752, 0.750], [0.752, 0.248, 0.250], [0.500, 0.500, 0.000], [0.500, 0.500, 0.500], [0.030, 0.970, 0.250], [0.970, 0.030, 0.750], [0.130, 0.870, 0.069], [0.130, 0.870, 0.431], [0.423, 0.577, 0.250], [0.577, 0.423, 0.750], [0.870, 0.130, 0.569], [0.870, 0.130, 0.931]], "sg": "Cmcm, No. 63", "relative_energy_ev_per_fu": 0.29}

***

Entry 2:
{"formula": "DyErZn2Ga2", "functional": "PBE", "state": "optimized geometry", "cell": [[4.396, 0.000, 0.000], [-2.198, 3.807, 0.000], [0.000, 0.000, 7.120]], "species": ["Dy", "Er", "Zn", "Zn", "Ga", "Ga"], "frac_coords": [[0.000, 0.000, 0.000], [0.000, 0.000, 0.500], [0.333, 0.667, 0.286], [0.667, 0.333, 0.783], [0.333, 0.667, 0.716], [0.667, 0.333, 0.219]], "sg": "P3m1, No. 156"}

***

Entry 3:
{"formula": "Cs3Lu2Cl9", "functional": "PBE", "state": "optimized geometry", "cell": [[6.510, 3.758, 6.126], [-6.510, 3.758, 6.126], [0.000, -7.517, 6.126]], "species": ["Cs", "Cs", "Cs", "Cs", "Cs", "Cs", "Lu", "Lu", "Lu", "Lu", "Cl", "Cl", "Cl", "Cl", "Cl", "Cl", "Cl", "Cl", "Cl", "Cl", "Cl", "Cl", "Cl", "Cl", "Cl", "Cl", "Cl", "Cl"], "frac_coords": [[0.090, 0.750, 0.410], [0.250, 0.590, 0.910], [0.410, 0.090, 0.750], [0.590, 0.910, 0.250], [0.750, 0.410, 0.090], [0.910, 0.250, 0.590], [0.150, 0.150, 0.150], [0.350, 0.350, 0.350], [0.650, 0.650, 0.650], [0.850, 0.850, 0.850], [0.080, 0.917, 0.739], [0.083, 0.261, 0.920], [0.099, 0.401, 0.250], [0.239, 0.417, 0.580], [0.250, 0.099, 0.401], [0.261, 0.920, 0.083], [0.401, 0.250, 0.099], [0.417, 0.580, 0.239], [0.420, 0.761, 0.583], [0.580, 0.239, 0.417], [0.583, 0.420, 0.761], [0.599, 0.750, 0.901], [0.739, 0.080, 0.917], [0.750, 0.901, 0.599], [0.761, 0.583, 0.420], [0.901, 0.599, 0.750], [0.917, 0.739, 0.080], [0.920, 0.083, 0.261]], "sg": "R-3c, No. 167"}

***

Sequential uncorrected energy output: -58.62 -21.25 -118.62 eV for the cell shown